Entry from the Alexandria database: a relaxed LaDy6Tm2Sc3 crystal (GGA-PBE).

a b c (Å): 6.0479 6.0479 11.4847
angles (deg): 95.04 95.04 120.00
With the nearest neighbours (Å) after each atom.
Positions (direct):
La: 0.0000 0.0000 0.0000  6 Tm 3.49, 6 Dy 3.57-3.58
Dy: 0.9130 0.5785 0.7396  3 Sc 3.37-3.38, 6 Dy 3.48-3.51, 2 Tm 3.57, 1 La 3.57
Dy: 0.7523 0.7523 0.2607  3 Sc 3.37-3.38, 6 Dy 3.48-3.51, 2 Tm 3.57, 1 La 3.58
Dy: 0.0870 0.4215 0.2604  3 Sc 3.37-3.38, 6 Dy 3.48-3.51, 2 Tm 3.57, 1 La 3.57
Dy: 0.5785 0.9130 0.7396  3 Sc 3.37-3.38, 6 Dy 3.48-3.51, 2 Tm 3.57, 1 La 3.57
Dy: 0.2477 0.2477 0.7393  3 Sc 3.37-3.38, 6 Dy 3.48-3.51, 2 Tm 3.57, 1 La 3.58
Dy: 0.4215 0.0870 0.2604  3 Sc 3.37-3.38, 6 Dy 3.48-3.51, 2 Tm 3.57, 1 La 3.57
Tm: 0.3334 0.6666 0.0000  3 Tm 3.49, 3 La 3.49, 6 Dy 3.57
Tm: 0.6666 0.3334 0.0000  3 Tm 3.49, 3 La 3.49, 6 Dy 3.57
Sc: 0.1670 0.8330 0.5000  6 Dy 3.37-3.38, 6 Sc 3.49-3.50
Sc: 0.8330 0.1670 0.5000  6 Dy 3.37-3.38, 6 Sc 3.49-3.50
Sc: 0.5000 0.5000 0.5000  6 Dy 3.37-3.38, 6 Sc 3.49

Properties
Magnetization in μB per atom: 0.00
Final energy in eV for the cell shown: -59.88
Calculated formation energy in eV/atom: 0.050